(1)
A plane-wave DFT calculation with PBE was carried out for PuPaAl after structural relaxation.

## Properties
* crystal system: tetragonal
* formation energy: -0.10 eV/atom
* SG: No. 107
* E_tot: -9.294 eV/atom

abc: 3.798 3.798 5.368
angles: 110.72 110.72 90.00
Fractional positions:
Pa: 0.282 0.282 0.565
Al: 0.616 0.616 0.232
Pu: 0.951 0.951 0.903


(2)
A plane-wave DFT calculation with PBE was carried out for PuPa2Al after structural relaxation.

## Properties
* crystal system: tetragonal
* formation energy: -0.10 eV/atom
* SG: No. 123
* E_tot: -9.367 eV/atom

abc: 4.364 4.567 4.567
angles: 90.00 90.00 90.00
Fractional positions:
Pa: 0.000 0.000 0.500
Pa: 0.000 0.500 0.000
Al: 0.500 0.000 0.000
Pu: 0.500 0.500 0.500


Number 1: ΔE to the lowest computed polymorph 0.35 kcal/mol of atoms. Number 2: ΔE to the lowest computed polymorph 0.00 kcal/mol of atoms.